# Sm3Bi2N

Crystalline Sm3Bi2N at its relaxed geometry (GGA-PBE, OQMD via LeMat-Bulk).

## Properties
M_tot, Bohr magnetons per cell: 0.01
Calculated total energy, eV/atom: -5.95
Calculated volume, Å³/cell: 156.5

a = 4.030 Å, b = 4.030 Å, c = 11.126 Å
α = 90.00°, β = 90.00°, γ = 120.00°
Positions (direct):
Sm (0.667, 0.333, 0.384)
Bi (0.333, 0.667, 0.188)
Sm (0.000, 0.000, 0.000)
Bi (0.667, 0.333, 0.812)
N (0.000, 0.000, 0.500)
Sm (0.333, 0.667, 0.616)